Here is an optimized crystal structure of MgNi3H from the Alexandria database. Energies are from PBE.

Cell and atoms, written as POSCAR:
```
MgNi3H
1.0
-2.0831 2.0831 9.2281
2.0831 -2.0831 9.2281
2.0831 2.0831 -9.2281
Mg Ni H
2 6 2
direct
0.0000 0.0000 0.0000
0.7500 0.2500 0.5000
0.3697 0.1252 0.2445
0.3705 0.3705 0.0000
0.6295 0.6295 0.0000
0.8748 0.1193 0.2445
0.8748 0.6303 0.7555
0.8807 0.1252 0.7555
0.1280 0.6280 0.5000
0.3720 0.8720 0.5000
```

Calculated values
energy relative to the lowest polymorph listed for this composition = 787 meV per atom
space-group type = I-4m2 (119)
Fermi-level density of states = 12.0 states/eV/cell
final energy = -38.26 eV for the cell shown